*w*
Here is crystalline KCaGe3 at its relaxed geometry from the Alexandria database. Energies are from PBE.

CIF file:
```
data_KCaGe3
_symmetry_space_group_name_H-M 'P m -3 m'
_symmetry_Int_Tables_number 221
_symmetry_space_group_name_Hall '-P 4 2 3'
_cell_length_a 5.555
_cell_length_b 5.555
_cell_length_c 5.555
_cell_angle_alpha 90.00
_cell_angle_beta 90.00
_cell_angle_gamma 90.00
loop_
_atom_site_label
_atom_site_type_symbol
_atom_site_fract_x
_atom_site_fract_y
_atom_site_fract_z
K1 K 0.000 0.000 0.000
Ca1 Ca 0.500 0.500 0.500
Ge1 Ge 0.000 0.500 0.500
```



*x*
Here is crystalline KCaGe3 at its relaxed geometry from the Alexandria database. Energies are from PBE.

CIF file:
```
data_KCaGe3
_symmetry_space_group_name_H-M 'P m -3 m'
_symmetry_Int_Tables_number 221
_symmetry_space_group_name_Hall '-P 4 2 3'
_cell_length_a 5.434
_cell_length_b 5.434
_cell_length_c 5.434
_cell_angle_alpha 90.00
_cell_angle_beta 90.00
_cell_angle_gamma 90.00
loop_
_atom_site_label
_atom_site_type_symbol
_atom_site_fract_x
_atom_site_fract_y
_atom_site_fract_z
K1 K 0.000 0.000 0.000
Ca1 Ca 0.500 0.500 0.500
Ge1 Ge 0.000 0.000 0.500
```



It is *w* that is the most stable of them.



*w*
Here is crystalline K2CaGe at its relaxed geometry from the Alexandria database. Energies are from PBE.

CIF file:
```
data_K2CaGe
_symmetry_space_group_name_H-M 'F m -3 m'
_symmetry_Int_Tables_number 225
_symmetry_space_group_name_Hall '-F 4 2 3'
_cell_length_a 8.274
_cell_length_b 8.274
_cell_length_c 8.274
_cell_angle_alpha 90.00
_cell_angle_beta 90.00
_cell_angle_gamma 90.00
loop_
_atom_site_label
_atom_site_type_symbol
_atom_site_fract_x
_atom_site_fract_y
_atom_site_fract_z
K1 K 0.250 0.250 0.250
Ca1 Ca 0.000 0.000 0.000
Ge1 Ge 0.000 0.000 0.500
```



*x*
Here is crystalline K2CaGe at its relaxed geometry from the Alexandria database. Energies are from PBE.

CIF file:
```
data_K2CaGe
_symmetry_space_group_name_H-M 'I -4 2 d'
_symmetry_Int_Tables_number 122
_symmetry_space_group_name_Hall 'I -4 2bw'
_cell_length_a 4.742
_cell_length_b 4.742
_cell_length_c 25.884
_cell_angle_alpha 90.00
_cell_angle_beta 90.00
_cell_angle_gamma 90.00
loop_
_atom_site_label
_atom_site_type_symbol
_atom_site_fract_x
_atom_site_fract_y
_atom_site_fract_z
K1 K 0.228 0.250 0.125
Ca1 Ca 0.000 0.000 0.500
Ge1 Ge 0.000 0.000 0.000
```



It is *x* that is the most stable of them.



*w*
Here is crystalline K3CaGe at its relaxed geometry from the Alexandria database. Energies are from PBE.

CIF file:
```
data_K3CaGe
_symmetry_space_group_name_H-M 'P m -3 m'
_symmetry_Int_Tables_number 221
_symmetry_space_group_name_Hall '-P 4 2 3'
_cell_length_a 7.339
_cell_length_b 7.339
_cell_length_c 7.339
_cell_angle_alpha 90.00
_cell_angle_beta 90.00
_cell_angle_gamma 90.00
loop_
_atom_site_label
_atom_site_type_symbol
_atom_site_fract_x
_atom_site_fract_y
_atom_site_fract_z
K1 K 0.000 0.000 0.500
Ca1 Ca 0.000 0.000 0.000
Ge1 Ge 0.500 0.500 0.500
```



*x*
Here is crystalline K3CaGe at its relaxed geometry from the Alexandria database. Energies are from PBE.

CIF file:
```
data_K3CaGe
_symmetry_space_group_name_H-M 'P m -3 m'
_symmetry_Int_Tables_number 221
_symmetry_space_group_name_Hall '-P 4 2 3'
_cell_length_a 6.582
_cell_length_b 6.582
_cell_length_c 6.582
_cell_angle_alpha 90.00
_cell_angle_beta 90.00
_cell_angle_gamma 90.00
loop_
_atom_site_label
_atom_site_type_symbol
_atom_site_fract_x
_atom_site_fract_y
_atom_site_fract_z
K1 K 0.000 0.000 0.500
Ca1 Ca 0.500 0.500 0.500
Ge1 Ge 0.000 0.000 0.000
```



It is *x* that is the most stable of them.



*w*
Here is crystalline KCa3Ge at its relaxed geometry from the Alexandria database. Energies are from PBE.

CIF file:
```
data_KCa3Ge
_symmetry_space_group_name_H-M 'P m -3 m'
_symmetry_Int_Tables_number 221
_symmetry_space_group_name_Hall '-P 4 2 3'
_cell_length_a 5.932
_cell_length_b 5.932
_cell_length_c 5.932
_cell_angle_alpha 90.00
_cell_angle_beta 90.00
_cell_angle_gamma 90.00
loop_
_atom_site_label
_atom_site_type_symbol
_atom_site_fract_x
_atom_site_fract_y
_atom_site_fract_z
K1 K 0.000 0.000 0.000
Ca1 Ca 0.000 0.500 0.500
Ge1 Ge 0.500 0.500 0.500
```



*x*
Here is crystalline KCa3Ge at its relaxed geometry from the Alexandria database. Energies are from PBE.

CIF file:
```
data_KCa3Ge
_symmetry_space_group_name_H-M 'P m -3 m'
_symmetry_Int_Tables_number 221
_symmetry_space_group_name_Hall '-P 4 2 3'
_cell_length_a 6.022
_cell_length_b 6.022
_cell_length_c 6.022
_cell_angle_alpha 90.00
_cell_angle_beta 90.00
_cell_angle_gamma 90.00
loop_
_atom_site_label
_atom_site_type_symbol
_atom_site_fract_x
_atom_site_fract_y
_atom_site_fract_z
K1 K 0.000 0.000 0.000
Ca1 Ca 0.000 0.000 0.500
Ge1 Ge 0.500 0.500 0.500
```



It is *w* that is the most stable of them.



*w*
Here is crystalline CaLa2Ge2 at its relaxed geometry from the Alexandria database. Energies are from PBE.

CIF file:
```
data_CaLa2Ge2
_symmetry_space_group_name_H-M 'P 4/m b m'
_symmetry_Int_Tables_number 127
_symmetry_space_group_name_Hall '-P 4 2ab'
_cell_length_a 8.434
_cell_length_b 8.434
_cell_length_c 4.108
_cell_angle_alpha 90.00
_cell_angle_beta 90.00
_cell_angle_gamma 90.00
loop_
_atom_site_label
_atom_site_type_symbol
_atom_site_fract_x
_atom_site_fract_y
_atom_site_fract_z
Ca1 Ca 0.000 0.000 0.000
La1 La 0.135 0.365 0.500
Ge1 Ge 0.169 0.669 0.000
```



*x*
Here is crystalline CaLa2Ge2 at its relaxed geometry from the Alexandria database. Energies are from PBE.

CIF file:
```
data_CaLa2Ge2
_symmetry_space_group_name_H-M 'P 4/m b m'
_symmetry_Int_Tables_number 127
_symmetry_space_group_name_Hall '-P 4 2ab'
_cell_length_a 8.799
_cell_length_b 8.799
_cell_length_c 3.619
_cell_angle_alpha 90.00
_cell_angle_beta 90.00
_cell_angle_gamma 90.00
loop_
_atom_site_label
_atom_site_type_symbol
_atom_site_fract_x
_atom_site_fract_y
_atom_site_fract_z
Ca1 Ca 0.000 0.000 0.000
La1 La 0.126 0.374 0.000
Ge1 Ge 0.174 0.674 0.500
```



It is *w* that is the most stable of them.



*w*
Here is crystalline Li4CaGe at its relaxed geometry from the Alexandria database. Energies are from PBE.

CIF file:
```
data_Li4CaGe
_symmetry_space_group_name_H-M 'C m c m'
_symmetry_Int_Tables_number 63
_symmetry_space_group_name_Hall '-C 2c 2'
_cell_length_a 4.587
_cell_length_b 21.386
_cell_length_c 5.236
_cell_angle_alpha 90.00
_cell_angle_beta 90.00
_cell_angle_gamma 90.00
loop_
_atom_site_label
_atom_site_type_symbol
_atom_site_fract_x
_atom_site_fract_y
_atom_site_fract_z
Li1 Li 0.000 0.000 0.000
Li2 Li 0.000 0.208 0.004
Li3 Li 0.000 0.336 0.750
Ca1 Ca 0.000 0.406 0.250
Ge1 Ge 0.000 0.101 0.250
```



*x*
Here is crystalline Li4CaGe at its relaxed geometry from the Alexandria database. Energies are from PBE.

CIF file:
```
data_Li4CaGe
_symmetry_space_group_name_H-M 'F -4 3 m'
_symmetry_Int_Tables_number 216
_symmetry_space_group_name_Hall 'F -4 2 3'
_cell_length_a 7.692
_cell_length_b 7.692
_cell_length_c 7.692
_cell_angle_alpha 90.00
_cell_angle_beta 90.00
_cell_angle_gamma 90.00
loop_
_atom_site_label
_atom_site_type_symbol
_atom_site_fract_x
_atom_site_fract_y
_atom_site_fract_z
Li1 Li 0.124 0.124 0.376
Ca1 Ca 0.000 0.000 0.000
Ge1 Ge 0.250 0.250 0.750
```



It is *x* that is the most stable of them.